Entry 1:
# MnTlTc, single point on PBEsol structure, DFT SCAN
# * formation enthalpy at 0 K: 412.5 meV/atom
# * calculated total energy: -124.4 eV per formula unit
data_MnTlTc
_cell_length_a 2.9438
_cell_length_b 2.9438
_cell_length_c 6.5460
_cell_angle_alpha 90.00
_cell_angle_beta 90.00
_cell_angle_gamma 120.00
_space_group_name_H-M_alt 'P 3 m 1'
_space_group_IT_number 156
_space_group_name_Hall 'P 3 -2"'
loop_
_atom_site_label
_atom_site_type_symbol
_atom_site_fract_x
_atom_site_fract_y
_atom_site_fract_z
_atom_site_occupancy
Mn1 Mn 0.0000 0.0000 0.0000 1
Tl1 Tl 0.3333 0.6667 0.3586 1
Tc1 Tc 0.6667 0.3333 0.7306 1



Entry 2:
# Dy5Ti5O17, single point on PBEsol structure, DFT SCAN
# * formation energy without anion corrections: -3594 meV per atom
# * calculated total energy: -522.1 eV per formula unit
data_Dy5Ti5O17
_cell_length_a 3.809
_cell_length_b 5.383
_cell_length_c 30.973
_cell_angle_alpha 90.00
_cell_angle_beta 90.00
_cell_angle_gamma 90.00
_space_group_name_H-M_alt 'P m n 21'
_space_group_IT_number 31
_space_group_name_Hall 'P 2ac -2'
loop_
_atom_site_label
_atom_site_type_symbol
_atom_site_fract_x
_atom_site_fract_y
_atom_site_fract_z
_atom_site_occupancy
Dy1 Dy 0.000 0.156 0.000 1
Dy2 Dy 0.000 0.211 0.220 1
Dy3 Dy 0.000 0.344 0.442 1
Dy4 Dy 0.000 0.677 0.319 1
Dy5 Dy 0.000 0.824 0.124 1
Ti1 Ti 0.000 0.218 0.897 1
Ti2 Ti 0.000 0.262 0.721 1
Ti3 Ti 0.000 0.282 0.545 1
Ti4 Ti 0.000 0.733 0.632 1
Ti5 Ti 0.000 0.765 0.809 1
O1 O 0.000 0.062 0.495 1
O2 O 0.000 0.063 0.667 1
O3 O 0.000 0.070 0.839 1
O4 O 0.000 0.246 0.142 1
O5 O 0.000 0.259 0.299 1
O6 O 0.000 0.423 0.604 1
O7 O 0.000 0.423 0.776 1
O8 O 0.000 0.438 0.947 1
O9 O 0.000 0.544 0.856 1
O10 O 0.000 0.559 0.510 1
O11 O 0.000 0.573 0.692 1
O12 O 0.000 0.718 0.392 1
O13 O 0.000 0.771 0.220 1
O14 O 0.000 0.782 0.050 1
O15 O 0.000 0.931 0.752 1
O16 O 0.000 0.942 0.933 1
O17 O 0.000 0.952 0.586 1



Entry 3:
# Zr2BeSb, single point on PBEsol structure, DFT SCAN
# * relative energy among the computed polymorphs: 2.01 eV per formula unit
# * formation energy without anion corrections: -51 meV per atom
# * calculated total energy: -103.2 eV per formula unit
data_Zr2BeSb
_cell_length_a 4.090
_cell_length_b 5.139
_cell_length_c 7.350
_cell_angle_alpha 90.00
_cell_angle_beta 90.00
_cell_angle_gamma 90.00
_space_group_name_H-M_alt 'C m m 2'
_space_group_IT_number 35
_space_group_name_Hall 'C 2 -2'
loop_
_atom_site_label
_atom_site_type_symbol
_atom_site_fract_x
_atom_site_fract_y
_atom_site_fract_z
_atom_site_occupancy
Zr1 Zr 0.000 0.000 0.000 1
Zr2 Zr 0.000 0.500 0.309 1
Be1 Be 0.000 0.000 0.525 1
Sb1 Sb 0.000 0.500 0.723 1